No. 1
Density functional theory data (meta-GGA SCAN) for MoSe2Br at its PBEsol-relaxed geometry.

The structure belongs to space group C2/m (No. 12); the cell edges are 5.621, 3.245 and 9.393 Å and the angles 90.00°, 101.43° and 90.00°. The distinct sites, in fractional coordinates, are Mo at (0.000, 0.000, 0.000), Se at (0.228, 0.500, 0.185) and Br at (0.000, 0.500, 0.500).

The calculation puts the density of states at the Fermi level at 4.03 states/eV/cell. The total energy is -23.87 eV per atom. Its formation energy without anion corrections is -23.5 kJ per mole of atoms. The value obtained for the energy above the most stable polymorph in this dataset is 0.0 meV/atom. Its crystal system is monoclinic.


No. 2
Density functional theory data (meta-GGA SCAN) for Hf2Ge2Au at its PBEsol-relaxed geometry.

The structure belongs to space group P4/mbm (No. 127); the cell edges are 6.777, 6.777 and 3.814 Å and the angles 90.00°, 90.00° and 90.00°. The distinct sites, in fractional coordinates, are Hf at (0.177, 0.323, 0.000), Ge at (0.127, 0.627, 0.500) and Au at (0.000, 0.000, 0.500).

The calculation puts the density of states at the Fermi level at 3.48 states/eV/cell. The total energy is -47.10 eV per atom. Its crystal system is tetragonal.


No. 3
Density functional theory data (meta-GGA SCAN) for ScFeRu at its PBEsol-relaxed geometry.

The structure belongs to space group F-43m (No. 216); the cell edges are 5.887, 5.887 and 5.887 Å and the angles 90.00°, 90.00° and 90.00°. The distinct sites, in fractional coordinates, are Sc at (0.000, 0.000, 0.000), Fe at (0.250, 0.250, 0.750) and Ru at (0.250, 0.250, 0.250).

The calculation puts the density of states at the Fermi level at 5.34 states/eV/cell. The total energy is -21.62 eV per atom. Its crystal system is cubic.


No. 4
Density functional theory data (meta-GGA SCAN) for MnBe2Al at its PBEsol-relaxed geometry.

The structure belongs to space group P2/m (No. 10); the cell edges are 2.397, 3.865 and 4.528 Å and the angles 90.00°, 98.00° and 90.00°. The distinct sites, in fractional coordinates, are Mn at (0.000, 0.000, 0.000), Be at (0.257, 0.500, 0.787) and Al at (0.500, 0.000, 0.500).

The calculation puts the density of states at the Fermi level at 1.60 states/eV/cell. The total energy is -8.67 eV per atom. Its crystal system is monoclinic.